## Ce2SiAsPt6 (GGA-PBE)

Data for a relaxed Ce2SiAsPt6 crystal.

Cell and atoms, written as POSCAR:
```
Ce2SiAsPt6
1.0
-1.9347 -4.8457 1.8244
6.1174 -0.1510 6.0863
-5.1438 4.0381 5.2703
As Ce Si Pt
2 4 2 12
direct
0.0000 0.7185 0.5000
0.5000 0.2815 0.0000
0.0000 0.2635 0.2519
0.0000 0.2635 0.7481
0.5000 0.7365 0.2481
0.5000 0.7365 0.7519
0.0000 0.7446 0.0000
0.5000 0.2554 0.5000
0.2523 0.4808 0.5000
0.0000 0.8776 0.7430
0.7531 0.0179 0.5000
0.2531 0.9821 0.0000
0.2477 0.5192 0.0000
0.7523 0.5192 0.0000
0.7469 0.9821 0.0000
0.2469 0.0179 0.5000
0.0000 0.8776 0.2570
0.7477 0.4808 0.5000
0.5000 0.1224 0.7570
0.5000 0.1224 0.2430
```

Output
As for the formation energy (no corrections): -902 meV/atom.

---

## K3ScAg (GGA-PBE)

Data for a relaxed K3ScAg crystal.

Cell and atoms, written as POSCAR:
```
K3ScAg
1.0
-2.1220 -5.3324 2.8941
5.8107 -0.9042 2.5946
-1.7454 3.4729 5.1192
Ag K Sc
1 3 1
direct
0.0000 0.0000 0.0000
0.0000 0.0000 0.5000
0.5000 0.0000 0.0000
0.0000 0.5000 0.0000
0.5000 0.5000 0.5000
```

Output
The calculation puts the offset from the most stable computed form at 0.0 kJ per mole of atoms. As for the formation energy: 3.07 eV per formula unit.

---

## Pr2AlS (GGA-PBE)

Data for a relaxed Pr2AlS crystal.

Cell and atoms, written as POSCAR:
```
Pr2AlS
1.0
3.9756 0.0000 0.0000
1.9878 3.4430 0.0000
1.9878 1.1477 8.1232
Al S Pr
1 1 2
direct
0.4992 0.4992 0.5023
0.6677 0.6677 0.9970
0.2618 0.2618 0.2145
0.0713 0.0713 0.7861
```

Output
The calculation puts the offset from the most stable computed form at 18.8 kJ per mole of atoms. As for the formation energy (no corrections): -995 meV/atom.

---

## Sn3RuC (GGA-PBE)

Data for a relaxed Sn3RuC crystal.

Cell and atoms, written as POSCAR:
```
Sn3RuC
1.0
4.6212 0.0000 0.0000
0.0000 4.6212 0.0000
0.0000 0.0000 4.6212
Sn C Ru
3 1 1
direct
0.5000 0.0000 0.0000
0.0000 0.5000 0.0000
0.0000 0.0000 0.5000
0.0000 0.0000 0.0000
0.5000 0.5000 0.5000
```

Output
The calculation puts the offset from the most stable computed form at 0.0 kJ per mole of atoms. As for the formation energy: 5.67 eV per formula unit.

---

## Cr2NiMo (GGA-PBE)

Data for a relaxed Cr2NiMo crystal.

Cell and atoms, written as POSCAR:
```
Cr2NiMo
1.0
2.5495 -0.0024 0.0000
-0.7249 2.4442 0.0000
0.0000 0.0000 8.0942
Cr Ni Mo
2 1 1
direct
0.5000 0.5000 0.2350
0.0000 0.0000 0.9983
0.5000 0.5000 0.7639
0.0000 0.0000 0.5029
```

Output
As for the formation energy: 0.44 eV per formula unit.

---

## BePdSe (GGA-PBE)

Data for a relaxed BePdSe crystal.

Cell and atoms, written as POSCAR:
```
BePdSe
1.0
-2.2869 -3.0587 -2.3888
3.7315 -4.7962 3.9223
-3.0905 -1.0297 1.5542
Be Pd Se
2 2 2
direct
0.3536 0.8169 0.4457
0.0555 0.5941 0.0865
0.9831 0.8924 0.1344
0.6570 0.6268 0.7870
0.2102 0.4471 0.5034
0.5652 0.0026 0.8473
```

Output
As for the formation energy (no corrections): -338 meV/atom.

---

Number 1: D(E_F) 12.22 states/eV/f.u., density 12.878 g/cm3. Number 2: D(E_F) 7.69 states/eV/f.u., density 1.689 g/cm3. Number 3: D(E_F) 4.26 states/eV/f.u., density 5.091 g/cm3. Number 4: D(E_F) 2.09 states/eV/f.u., density 7.895 g/cm3. Number 5: D(E_F) 4.80 states/eV/f.u., density 8.517 g/cm3. Number 6: D(E_F) 0.16 states/eV/f.u., density 6.022 g/cm3.